[1]
First-principles (SCAN) data for a crystal of Ga2Os relaxed with PBEsol, as listed in Alexandria.

formation enthalpy at 0 K	-0.71	eV/f.u.

Unit cell a=4.711 b=4.731 c=4.946 alpha=76.28 beta=61.56 gamma=60.14
Fractional coordinates of all 6 atoms:
Ga  0.167  0.665  0.000
Ga  0.833  0.335  0.000
Ga  0.917  0.165  0.500
Ga  0.583  0.835  0.500
Os  0.250  0.500  0.500
Os  0.500  0.000  0.000

=====

[2]
First-principles (SCAN) data for a crystal of GaSnP2Os relaxed with PBEsol, as listed in Alexandria.

density of states at the Fermi level	3.0	states/eV per cell
formation enthalpy at 0 K	2.70	eV/f.u.

Unit cell a=4.442 b=4.442 c=5.634 alpha=90.00 beta=90.00 gamma=90.00
Fractional coordinates of all 5 atoms:
P  0.000  0.500  0.000
P  0.500  0.000  0.000
Os  0.000  0.000  0.000
Ga  0.500  0.500  0.500
Sn  0.000  0.000  0.500

=====

[3]
First-principles (SCAN) data for a crystal of GaOsPbSe2 relaxed with PBEsol, as listed in Alexandria.

density of states at the Fermi level	4.3	states/eV per cell
E_form (uncorrected)	0.5877	eV per atom

Unit cell a=4.758 b=4.758 c=5.532 alpha=90.00 beta=90.00 gamma=90.00
Fractional coordinates of all 5 atoms:
Os  0.000  0.000  0.000
Ga  0.500  0.500  0.500
Se  0.000  0.500  0.000
Se  0.500  0.000  0.000
Pb  0.000  0.000  0.500

=====

[4]
First-principles (SCAN) data for a crystal of ZnGaOsPt2 relaxed with PBEsol, as listed in Alexandria.

density of states at the Fermi level	2.6	states/eV per cell
formation enthalpy at 0 K	5.42	eV/f.u.

Unit cell a=4.501 b=4.501 c=4.532 alpha=90.00 beta=90.00 gamma=90.00
Last column: magnetic moment on the atom in μB.
Fractional coordinates of all 5 atoms:
Ga  0.000  0.000  0.000  -0.01
Os  0.000  0.000  0.500  0.58
Pt  0.000  0.500  0.000  0.09
Pt  0.500  0.000  0.000  0.09
Zn  0.500  0.500  0.500  -0.01

=====

[5]
First-principles (SCAN) data for a crystal of RbGa3Os relaxed with PBEsol, as listed in Alexandria.

density of states at the Fermi level	0.3	states/eV per cell
formation enthalpy at 0 K	-1.65	eV/f.u.

Unit cell a=4.852 b=4.852 c=4.852 alpha=90.00 beta=90.00 gamma=90.00
Fractional coordinates of all 5 atoms:
Rb  0.500  0.500  0.500
Ga  0.500  0.000  0.000
Ga  0.000  0.500  0.000
Ga  0.000  0.000  0.500
Os  0.000  0.000  0.000

=====

[6]
First-principles (SCAN) data for a crystal of GaOs3Rh relaxed with PBEsol, as listed in Alexandria.

density of states at the Fermi level	5.7	states/eV per cell
formation enthalpy at 0 K	10.73	eV/f.u.

Unit cell a=4.388 b=4.388 c=4.388 alpha=90.00 beta=90.00 gamma=90.00
Fractional coordinates of all 5 atoms:
Os  0.000  0.500  0.000
Os  0.000  0.000  0.500
Os  0.500  0.000  0.000
Ga  0.000  0.000  0.000
Rh  0.500  0.500  0.500

=====

[7]
First-principles (SCAN) data for a crystal of Ga3OsRu relaxed with PBEsol, as listed in Alexandria.

density of states at the Fermi level	1.7	states/eV per cell
formation enthalpy at 0 K	4.89	eV/f.u.

Unit cell a=4.583 b=4.583 c=4.583 alpha=90.00 beta=90.00 gamma=90.00
Last column: magnetic moment on the atom in μB.
Fractional coordinates of all 5 atoms:
Ga  0.000  0.500  0.000  -0.01
Ga  0.000  0.000  0.500  -0.01
Ga  0.500  0.000  0.000  -0.01
Os  0.500  0.500  0.500  2.21
Ru  0.000  0.000  0.000  0.47

=====

[8]
First-principles (SCAN) data for a crystal of Ga3SbOs relaxed with PBEsol, as listed in Alexandria.

density of states at the Fermi level	4.2	states/eV per cell
E_form (uncorrected)	1.7984	eV per atom

Unit cell a=5.050 b=5.050 c=5.050 alpha=90.00 beta=90.00 gamma=90.00
Last column: magnetic moment on the atom in μB.
Fractional coordinates of all 5 atoms:
Os  0.500  0.500  0.500  2.09
Sb  0.000  0.000  0.000  0.01
Ga  0.500  0.000  0.000  -0.03
Ga  0.000  0.000  0.500  -0.03
Ga  0.000  0.500  0.000  -0.03

=====

[9]
First-principles (SCAN) data for a crystal of GaSb2TeOs relaxed with PBEsol, as listed in Alexandria.

density of states at the Fermi level	3.6	states/eV per cell
E_form (uncorrected)	1.6388	eV per atom

Unit cell a=4.988 b=4.988 c=5.072 alpha=90.00 beta=90.00 gamma=90.00
Last column: magnetic moment on the atom in μB.
Fractional coordinates of all 5 atoms:
Sb  0.500  0.000  0.000  -0.03
Sb  0.000  0.500  0.000  -0.03
Os  0.500  0.500  0.500  1.53
Te  0.000  0.000  0.500  -0.13
Ga  0.000  0.000  0.000  -0.01

=====

[10]
First-principles (SCAN) data for a crystal of GaOs3Se relaxed with PBEsol, as listed in Alexandria.

density of states at the Fermi level	4.0	states/eV per cell
E_form (uncorrected)	1.9254	eV per atom

Unit cell a=4.484 b=4.484 c=4.484 alpha=90.00 beta=90.00 gamma=90.00
Fractional coordinates of all 5 atoms:
Se  0.000  0.000  0.000
Ga  0.500  0.500  0.500
Os  0.000  0.500  0.000
Os  0.500  0.000  0.000
Os  0.000  0.000  0.500

=====

[11]
First-principles (SCAN) data for a crystal of Ga3OsSe relaxed with PBEsol, as listed in Alexandria.

density of states at the Fermi level	2.5	states/eV per cell
E_form (uncorrected)	1.5016	eV per atom

Unit cell a=4.742 b=4.742 c=4.742 alpha=90.00 beta=90.00 gamma=90.00
Last column: magnetic moment on the atom in μB.
Fractional coordinates of all 5 atoms:
Se  0.000  0.000  0.000  -0.03
Os  0.500  0.500  0.500  1.73
Ga  0.500  0.000  0.000  -0.01
Ga  0.000  0.000  0.500  -0.01
Ga  0.000  0.500  0.000  -0.01

=====

[12]
First-principles (SCAN) data for a crystal of Ga3OsSe relaxed with PBEsol, as listed in Alexandria.

density of states at the Fermi level	5.2	states/eV per cell
E_form (uncorrected)	0.1823	eV per atom

Unit cell a=4.761 b=4.761 c=4.761 alpha=90.00 beta=90.00 gamma=90.00
Fractional coordinates of all 5 atoms:
Ga  0.000  0.000  0.500
Ga  0.500  0.000  0.000
Ga  0.000  0.500  0.000
Se  0.500  0.500  0.500
Os  0.000  0.000  0.000

=====

Size of the total moment, respectively: 0.000; 0.000; 0.000; 0.774; 0.000; 0.000; 3.086; 2.201; 1.552; 0.000; 1.843; 0.000 μB per formula unit.